one) # GGA-PBEsol MgZn8Cu4, optimized geometry
# - magnetization (Bohr magnetons per cell) = 0.0
data_MgZn8Cu4
_space_group_name_H-M_alt 'I 4/m m m'
_space_group_IT_number 139
_space_group_name_Hall '-I 4 2'
_cell_length_a 8.4730
_cell_length_b 8.4730
_cell_length_c 4.9408
_cell_angle_alpha 90.00
_cell_angle_beta 90.00
_cell_angle_gamma 90.00
loop_
_atom_site_label
_atom_site_type_symbol
_atom_site_fract_x
_atom_site_fract_y
_atom_site_fract_z
_atom_site_occupancy
Mg1 Mg 0.0000 0.0000 0.0000 1
Zn1 Zn 0.0000 0.2165 0.5000 1
Zn2 Zn 0.0000 0.3442 0.0000 1
Cu1 Cu 0.2500 0.2500 0.2500 1

=====

two) # GGA-PBEsol MgZn8Cu4, optimized geometry
# - magnetization (Bohr magnetons per cell) = 0.0
data_MgZn8Cu4
_space_group_name_H-M_alt 'I 4/m'
_space_group_IT_number 87
_space_group_name_Hall '-I 4'
_cell_length_a 9.6722
_cell_length_b 9.6722
_cell_length_c 3.6509
_cell_angle_alpha 90.00
_cell_angle_beta 90.00
_cell_angle_gamma 90.00
loop_
_atom_site_label
_atom_site_type_symbol
_atom_site_fract_x
_atom_site_fract_y
_atom_site_fract_z
_atom_site_occupancy
Mg1 Mg 0.0000 0.0000 0.0000 1
Zn1 Zn 0.0748 0.6193 0.0000 1
Zn2 Zn 0.1548 0.2295 0.0000 1
Cu1 Cu 0.0375 0.8021 0.5000 1

=====

Most stable: one)

=====

one) # GGA-PBEsol Mn2CuMo, optimized geometry
# - magnetization (Bohr magnetons per cell) = 4.9
data_Mn2CuMo
_space_group_name_H-M_alt 'C 1 2/m 1'
_space_group_IT_number 12
_cell_length_a 8.4004
_cell_length_b 2.5356
_cell_length_c 4.5712
_cell_angle_alpha 90.00
_cell_angle_beta 96.94
_cell_angle_gamma 90.00
loop_
_space_group_symop_operation_xyz
'x,y,z'
'-x,-y,-z'
'-x,y,-z'
'x,-y,z'
'x+1/2,y+1/2,z'
'-x+1/2,-y+1/2,-z'
'-x+1/2,y+1/2,-z'
'x+1/2,-y+1/2,z'
loop_
_atom_site_label
_atom_site_type_symbol
_atom_site_fract_x
_atom_site_fract_y
_atom_site_fract_z
_atom_site_occupancy
Mn1 Mn 0.2430 0.0000 0.2334 1
Cu1 Cu 0.0000 0.5000 0.0000 1
Mo1 Mo 0.0000 0.0000 0.5000 1

=====

two) # GGA-PBEsol Mn2CuMo, optimized geometry
# - magnetization (Bohr magnetons per cell) = 2.8
data_Mn2CuMo
_space_group_name_H-M_alt 'P 4/m m m'
_space_group_IT_number 123
_space_group_name_Hall '-P 4 2'
_cell_length_a 3.7960
_cell_length_b 3.7960
_cell_length_c 3.3519
_cell_angle_alpha 90.00
_cell_angle_beta 90.00
_cell_angle_gamma 90.00
loop_
_atom_site_label
_atom_site_type_symbol
_atom_site_fract_x
_atom_site_fract_y
_atom_site_fract_z
_atom_site_occupancy
Mn1 Mn 0.0000 0.5000 0.0000 1
Cu1 Cu 0.0000 0.0000 0.5000 1
Mo1 Mo 0.5000 0.5000 0.5000 1

=====

Most stable: two)